1.
4
Lattice="-8.6834 0.6600 4.2302 -6.8649 -0.5022 6.8083 -6.9345 2.7944 6.1511" Properties=species:S:1:pos:R:3 comment="NbHgSe2 | Alexandria via LeMat-Bulk | PBE | relaxed" e_form_raw_ev_per_atom=-0.115 m_tot_mub_per_cell=0.00 dft_energy_ev_per_atom=-4.450 pbc="T T T"
Hg -11.8272 1.5530 9.0427
Nb -21.1200 2.7732 16.1476
Se -14.9570 1.9639 11.4356
Se -2.7047 0.3551 2.0679

---

2.
8
Lattice="-2.2221 2.4252 -4.4455 -5.0269 -0.4697 2.2565 -2.9204 6.6706 1.6592" Properties=species:S:1:pos:R:3 comment="NbHgSe2 | Alexandria via LeMat-Bulk | PBE | relaxed" e_form_raw_ev_per_atom=-0.129 m_tot_mub_per_cell=4.18 dft_energy_ev_per_atom=-4.464 pbc="T T T"
Se -6.8407 5.2567 -0.5922
Se -6.0817 1.1976 0.2537
Se -3.3287 3.3694 0.0623
Se -5.4901 5.9810 2.5674
Hg 0.0000 0.0000 0.0000
Hg -4.3835 5.0368 -1.9405
Nb -5.7859 3.5893 1.4106
Nb -3.6245 0.9777 -1.0945

---

3.
8
Lattice="10.9360 0.0000 0.2087 2.8842 5.7083 -1.7865 -2.8842 5.7083 1.7865" Properties=species:S:1:pos:R:3 comment="NbHgSe2 | Alexandria via LeMat-Bulk | PBE | relaxed" e_form_raw_ev_per_atom=-0.416 m_tot_mub_per_cell=0.00 dft_energy_ev_per_atom=-4.751 pbc="T T T"
Nb 11.0602 6.1209 -1.1480
Nb 2.7080 5.2958 0.5342
Hg -0.0253 8.5602 0.4851
Hg 5.4428 8.5649 0.5894
Se 2.5825 6.7820 -1.4281
Se 8.6026 6.7839 -1.0778
Se 0.2504 4.6328 0.6044
Se 5.1663 4.6346 0.4628

---

4.
16
Lattice="6.9536 0.0000 0.0000 0.0000 3.4106 0.0000 0.0000 0.0000 19.1598" Properties=species:S:1:pos:R:3 comment="NbHgSe2 | Alexandria via LeMat-Bulk | PBE | relaxed" e_form_raw_ev_per_atom=-0.461 m_tot_mub_per_cell=0.00 dft_energy_ev_per_atom=-4.796 pbc="T T T"
Nb 3.9005 2.5579 10.7713
Nb 3.0532 0.8526 8.3885
Nb 6.5300 0.8526 1.1914
Nb 0.4237 2.5579 17.9684
Hg 3.1918 2.5579 3.1352
Hg 6.6687 2.5579 6.4447
Hg 3.7618 0.8526 16.0246
Hg 0.2850 0.8526 12.7151
Se 3.4341 0.8526 12.6250
Se 1.5778 2.5579 9.7301
Se 6.9110 0.8526 16.1147
Se 5.0546 2.5579 19.0096
Se 1.8990 0.8526 0.1502
Se 5.3758 0.8526 9.4297
Se 0.0427 2.5579 3.0451
Se 3.5195 2.5579 6.5348

---

5.
16
Lattice="20.4879 0.0000 -1.3860 0.0000 3.2961 0.0000 -7.7491 0.0000 6.7017" Properties=species:S:1:pos:R:3 comment="NbHgSe2 | Alexandria via LeMat-Bulk | PBE | relaxed" e_form_raw_ev_per_atom=-0.316 m_tot_mub_per_cell=0.00 dft_energy_ev_per_atom=-4.651 pbc="T T T"
Se 7.3141 1.6485 -0.1050
Se -3.6247 1.6486 5.5554
Se 5.4247 1.6476 5.4207
Se 2.2450 0.0006 3.8042
Se 16.3635 1.6475 -0.2397
Se -0.9447 0.0004 2.7628
Se 10.4938 3.2955 1.5115
Se 13.6835 3.2956 2.5529
Hg 11.0687 3.2952 5.3543
Hg 8.0395 1.6472 2.6193
Hg 1.6701 0.0008 -0.0386
Hg 4.6993 1.6489 2.6964
Nb 0.9789 1.6486 2.3047
Nb 5.3905 0.0006 0.3531
Nb 7.3483 3.2955 4.9626
Nb 11.7599 1.6475 3.0110

---

6.
5
Lattice="4.7708 0.0000 0.0000 0.0000 4.7708 0.0000 0.0000 0.0000 4.7708" Properties=species:S:1:pos:R:3 comment="Nb3HgSe | Alexandria via LeMat-Bulk | PBE | relaxed" e_form_raw_ev_per_atom=0.637 m_tot_mub_per_cell=0.00 dft_energy_ev_per_atom=-6.162 pbc="T T T"
Nb 0.0000 2.3854 0.0000
Nb 2.3854 0.0000 0.0000
Nb 0.0000 0.0000 2.3854
Se 0.0000 0.0000 0.0000
Hg 2.3854 2.3854 2.3854